# PBEsol Ca2AsW, relaxed
data_Ca2AsW
_cell_length_a 4.327
_cell_length_b 4.327
_cell_length_c 5.382
_cell_angle_alpha 113.70
_cell_angle_beta 113.70
_cell_angle_gamma 90.00
_space_group_name_H-M_alt 'P 1'
_space_group_IT_number 1
loop_
_space_group_symop_operation_xyz
'x,y,z'
loop_
_atom_site_label
_atom_site_type_symbol
_atom_site_fract_x
_atom_site_fract_y
_atom_site_fract_z
_atom_site_occupancy
As1 As 0.250 0.750 0.500 1
Ca1 Ca 0.000 0.000 0.000 1
Ca2 Ca 0.750 0.250 0.500 1
W1 W 0.500 0.500 0.000 1
# M_tot: 0.00 μB/f.u.
# Energy: -21.1 eV/f.u.
# DOS at the Fermi energy: 0.996 states/eV/atom


# PBEsol ZnTcAs2Br, relaxed
data_ZnTcAs2Br
_cell_length_a 4.707
_cell_length_b 4.707
_cell_length_c 5.031
_cell_angle_alpha 90.00
_cell_angle_beta 90.00
_cell_angle_gamma 90.00
_space_group_name_H-M_alt 'P 1'
_space_group_IT_number 1
loop_
_space_group_symop_operation_xyz
'x,y,z'
loop_
_atom_site_label
_atom_site_type_symbol
_atom_site_fract_x
_atom_site_fract_y
_atom_site_fract_z
_atom_site_occupancy
Tc1 Tc 0.500 0.500 0.500 1
Br1 Br 0.000 0.000 0.500 1
As1 As 0.500 0.000 0.000 1
As2 As 0.000 0.500 0.000 1
Zn1 Zn 0.000 0.000 0.000 1
# Energy relative to the elements, uncorrected: 115.92 kJ/mol of atoms
# M_tot: 3.30 μB/f.u.
# DOS at the Fermi energy: 0.603 states/eV/atom


# PBEsol SbPbAuI2, relaxed
data_SbPbAuI2
_cell_length_a 5.403
_cell_length_b 5.499
_cell_length_c 5.499
_cell_angle_alpha 90.00
_cell_angle_beta 90.00
_cell_angle_gamma 90.00
_space_group_name_H-M_alt 'P 1'
_space_group_IT_number 1
loop_
_space_group_symop_operation_xyz
'x,y,z'
loop_
_atom_site_label
_atom_site_type_symbol
_atom_site_fract_x
_atom_site_fract_y
_atom_site_fract_z
_atom_site_occupancy
I1 I 0.000 0.000 0.500 1
I2 I 0.000 0.500 0.000 1
Au1 Au 0.000 0.000 0.000 1
Pb1 Pb 0.500 0.500 0.500 1
Sb1 Sb 0.500 0.000 0.000 1
# Energy relative to the elements, uncorrected: 24.69 kJ/mol of atoms
# M_tot: 0.00 μB/f.u.
# DOS at the Fermi energy: 0.695 states/eV/atom


# PBEsol KSc2Be, relaxed
data_KSc2Be
_cell_length_a 3.164
_cell_length_b 4.283
_cell_length_c 8.730
_cell_angle_alpha 104.20
_cell_angle_beta 100.44
_cell_angle_gamma 90.00
_space_group_name_H-M_alt 'P 1'
_space_group_IT_number 1
loop_
_space_group_symop_operation_xyz
'x,y,z'
loop_
_atom_site_label
_atom_site_type_symbol
_atom_site_fract_x
_atom_site_fract_y
_atom_site_fract_z
_atom_site_occupancy
Be1 Be 0.483 0.483 0.966 1
K1 K 0.172 0.672 0.343 1
Sc1 Sc 0.860 0.360 0.720 1
Sc2 Sc 0.985 0.985 0.971 1
# M_tot: 0.00 μB/f.u.
# Energy: -16.2 eV/f.u.
# DOS at the Fermi energy: 1.195 states/eV/atom


# PBEsol KCoTe2, relaxed
data_KCoTe2
_cell_length_a 3.366
_cell_length_b 3.366
_cell_length_c 8.443
_cell_angle_alpha 90.00
_cell_angle_beta 90.00
_cell_angle_gamma 90.00
_space_group_name_H-M_alt 'P 1'
_space_group_IT_number 1
loop_
_space_group_symop_operation_xyz
'x,y,z'
loop_
_atom_site_label
_atom_site_type_symbol
_atom_site_fract_x
_atom_site_fract_y
_atom_site_fract_z
_atom_site_occupancy
Te1 Te 0.000 0.000 0.813 1
Te2 Te 0.000 0.000 0.187 1
Co1 Co 0.500 0.500 0.000 1
K1 K 0.500 0.500 0.500 1
# Energy relative to the elements, uncorrected: 1.32 kJ/mol of atoms
# M_tot: 1.63 μB/f.u.
# DOS at the Fermi energy: 0.773 states/eV/atom


# PBEsol Mo3HPb, relaxed
data_Mo3HPb
_cell_length_a 4.103
_cell_length_b 4.103
_cell_length_c 4.103
_cell_angle_alpha 90.00
_cell_angle_beta 90.00
_cell_angle_gamma 90.00
_space_group_name_H-M_alt 'P 1'
_space_group_IT_number 1
loop_
_space_group_symop_operation_xyz
'x,y,z'
loop_
_atom_site_label
_atom_site_type_symbol
_atom_site_fract_x
_atom_site_fract_y
_atom_site_fract_z
_atom_site_occupancy
H1 H 0.000 0.000 0.000 1
Pb1 Pb 0.500 0.500 0.500 1
Mo1 Mo 0.500 0.000 0.000 1
Mo2 Mo 0.000 0.500 0.000 1
Mo3 Mo 0.000 0.000 0.500 1
# M_tot: 0.00 μB/f.u.
# Energy: -40.3 eV/f.u.
# DOS at the Fermi energy: 1.024 states/eV/atom


# PBEsol VNi3Sb2P6O24, relaxed
data_VNi3Sb2P6O24
_cell_length_a 8.415
_cell_length_b 8.415
_cell_length_c 8.698
_cell_angle_alpha 61.07
_cell_angle_beta 61.07
_cell_angle_gamma 60.00
_space_group_name_H-M_alt 'P 1'
_space_group_IT_number 1
loop_
_space_group_symop_operation_xyz
'x,y,z'
loop_
_atom_site_label
_atom_site_type_symbol
_atom_site_fract_x
_atom_site_fract_y
_atom_site_fract_z
_atom_site_occupancy
O1 O 0.616 0.978 0.577 1
O2 O 0.381 0.987 0.432 1
O3 O 0.863 0.731 0.932 1
O4 O 0.200 0.381 0.432 1
O5 O 0.479 0.213 0.740 1
O6 O 0.130 0.264 0.073 1
O7 O 0.776 0.437 0.248 1
O8 O 0.987 0.200 0.432 1
O9 O 0.539 0.776 0.248 1
O10 O 0.534 0.130 0.073 1
O11 O 0.829 0.616 0.577 1
O12 O 0.437 0.539 0.248 1
O13 O 0.474 0.863 0.932 1
O14 O 0.740 0.897 0.273 1
O15 O 0.257 0.088 0.748 1
O16 O 0.978 0.829 0.577 1
O17 O 0.088 0.907 0.748 1
O18 O 0.213 0.567 0.740 1
O19 O 0.897 0.090 0.273 1
O20 O 0.264 0.534 0.073 1
O21 O 0.731 0.474 0.932 1
O22 O 0.907 0.257 0.748 1
O23 O 0.567 0.479 0.740 1
O24 O 0.090 0.740 0.273 1
P1 P 0.749 0.465 0.755 1
P2 P 0.465 0.031 0.755 1
P3 P 0.538 0.962 0.251 1
P4 P 0.031 0.749 0.755 1
P5 P 0.249 0.538 0.251 1
P6 P 0.962 0.249 0.251 1
Sb1 Sb 0.505 0.505 0.484 1
Sb2 Sb 0.016 0.016 0.951 1
V1 V 0.856 0.856 0.431 1
Ni1 Ni 0.646 0.646 0.062 1
Ni2 Ni 0.150 0.150 0.549 1
Ni3 Ni 0.355 0.355 0.935 1
# Energy relative to the elements, uncorrected: -169.81 kJ/mol of atoms
# M_tot: 5.20 μB/f.u.
# DOS at the Fermi energy: 0.342 states/eV/atom


# PBEsol Li4Nb3Co3Te2O16, relaxed
data_Li4Nb3Co3Te2O16
_cell_length_a 5.962
_cell_length_b 5.942
_cell_length_c 10.403
_cell_angle_alpha 90.48
_cell_angle_beta 90.00
_cell_angle_gamma 120.11
_space_group_name_H-M_alt 'P 1'
_space_group_IT_number 1
loop_
_space_group_symop_operation_xyz
'x,y,z'
loop_
_atom_site_label
_atom_site_type_symbol
_atom_site_fract_x
_atom_site_fract_y
_atom_site_fract_z
_atom_site_occupancy
Li1 Li 0.990 0.980 0.519 1
Li2 Li 0.669 0.338 0.601 1
Li3 Li 0.996 0.993 0.002 1
Li4 Li 0.338 0.676 0.094 1
O1 O 0.510 0.021 0.180 1
O2 O 0.484 0.505 0.661 1
O3 O 0.489 0.485 0.171 1
O4 O 0.326 0.652 0.904 1
O5 O 0.996 0.485 0.171 1
O6 O 0.834 0.170 0.895 1
O7 O 0.002 0.005 0.702 1
O8 O 0.654 0.308 0.409 1
O9 O 0.168 0.850 0.406 1
O10 O 0.997 0.994 0.191 1
O11 O 0.487 0.974 0.650 1
O12 O 0.682 0.850 0.406 1
O13 O 0.336 0.170 0.895 1
O14 O 0.021 0.505 0.661 1
O15 O 0.837 0.673 0.894 1
O16 O 0.149 0.297 0.400 1
Te1 Te 0.674 0.347 0.984 1
Te2 Te 0.356 0.712 0.507 1
Nb1 Nb 0.351 0.194 0.283 1
Nb2 Nb 0.843 0.194 0.283 1
Nb3 Nb 0.183 0.365 0.771 1
Co1 Co 0.809 0.619 0.288 1
Co2 Co 0.636 0.825 0.784 1
Co3 Co 0.189 0.825 0.784 1
# Energy relative to the elements, uncorrected: -166.16 kJ/mol of atoms
# M_tot: 8.03 μB/f.u.
# DOS at the Fermi energy: 0.285 states/eV/atom